CoSN2O after structural relaxation. Source: Alexandria, functional PBE+U.

Output
For the total energy, the calculation gives -22.9 eV/cell. As for the mass density: 3.78 Mg/m³.

Structure (POSCAR):
```
CoSN2O
1.0
-1.607 -2.512 1.600
2.923 -0.980 1.396
-0.877 3.131 4.036
N S Co O
2 1 1 1
direct
0.500 0.000 0.000
0.000 0.500 0.000
0.000 0.000 0.500
0.000 0.000 0.000
0.500 0.500 0.500
```